1.
DFT (GGA-PBE) results for a geometry-optimized LiLa2Cu structure.

Energy of formation from the pure elements: 0.118 eV per atom
Total energy: -3.848 eV/atom
DOS(E_F): 14.8 states/eV per cell

a b c (Å): 3.6880 3.6880 29.9143
angles (deg): 90.00 90.00 120.00
Space group R3m (No. 160, hexagonal axes)
One atom of each set of equivalent atoms:
Li (0.0000, 0.0000, 0.0000)
La (0.0000, 0.0000, 0.2357)
La (0.0000, 0.0000, 0.4291)
Cu (0.0000, 0.0000, 0.8324)

=====

2.
DFT (GGA-PBE) results for a geometry-optimized LiLa2Cu structure.

Energy of formation from the pure elements: 0.033 eV per atom
Total energy: -3.933 eV/atom
DOS(E_F): 4.3 states/eV per cell

a b c (Å): 3.625 3.625 7.859
angles (deg): 90.00 90.00 90.00
Space group P4mm (No. 99)
One atom of each set of equivalent atoms:
Li (0.000, 0.000, 0.000)
La (0.000, 0.000, 0.378)
La (0.500, 0.500, 0.729)
Cu (0.500, 0.500, 0.146)

=====

3.
DFT (GGA-PBE) results for a geometry-optimized LiLa2Cu structure.

Energy of formation from the pure elements: -0.028 eV per atom
Total energy: -3.995 eV/atom
DOS(E_F): 4.4 states/eV per cell

a b c (Å): 3.782 3.782 7.540
angles (deg): 90.00 90.00 90.00
Space group P4/mmm (No. 123)
One atom of each set of equivalent atoms:
Li (0.000, 0.000, 0.000)
La (0.500, 0.500, 0.285)
Cu (0.000, 0.000, 0.500)

=====

4.
DFT (GGA-PBE) results for a geometry-optimized LiLa2Cu structure.

Energy of formation from the pure elements: 0.192 eV per atom
Total energy: -3.774 eV/atom
DOS(E_F): 12.1 states/eV per cell

a b c (Å): 8.377 8.377 6.443
angles (deg): 90.00 90.00 90.00
Space group I-42d (No. 122)
One atom of each set of equivalent atoms:
Li (0.000, 0.000, 0.000)
La (0.209, 0.250, 0.625)
Cu (0.000, 0.000, 0.500)